# Sb3Br2F16 (GGA-PBEsol, optimized geometry)
data_Sb3Br2F16
_cell_length_a 13.176
_cell_length_b 7.657
_cell_length_c 14.424
_cell_angle_alpha 90.00
_cell_angle_beta 94.98
_cell_angle_gamma 90.00
_symmetry_space_group_name_H-M 'C 1 2/c 1'
_symmetry_Int_Tables_number 15
loop_
_symmetry_equiv_pos_as_xyz
'x,y,z'
'-x,-y,-z'
'-x,y,-z+1/2'
'x,-y,z+1/2'
'x+1/2,y+1/2,z'
'-x+1/2,-y+1/2,-z'
'-x+1/2,y+1/2,-z+1/2'
'x+1/2,-y+1/2,z+1/2'
loop_
_atom_site_label
_atom_site_fract_x
_atom_site_fract_y
_atom_site_fract_z
_atom_site_occupancy
Sb1 0.128 0.145 0.122 1
Sb2 0.250 0.250 0.500 1
Br1 0.072 0.330 0.797 1
F1 0.005 0.021 0.125 1
F2 0.075 0.272 0.017 1
F3 0.100 0.315 0.209 1
F4 0.145 0.343 0.418 1
F5 0.162 0.042 0.522 1
F6 0.191 0.015 0.709 1
F7 0.197 0.367 0.600 1
F8 0.239 0.268 0.895 1
# - raw formation energy (eV per atom) = -1.999

***

# LiY2 (GGA-PBEsol, optimized geometry)
data_LiY2
_cell_length_a 3.602
_cell_length_b 3.602
_cell_length_c 12.436
_cell_angle_alpha 90.00
_cell_angle_beta 90.00
_cell_angle_gamma 90.00
_symmetry_space_group_name_H-M 'I 4/m m m'
_symmetry_Int_Tables_number 139
_symmetry_space_group_name_Hall '-I 4 2'
loop_
_atom_site_label
_atom_site_fract_x
_atom_site_fract_y
_atom_site_fract_z
_atom_site_occupancy
Li1 0.000 0.000 0.000 1
Y1 0.000 0.000 0.346 1
# - DFT formation energy (eV/atom) = 0.0903
# - energy above the lowest structure with this stoichiometry (meV/atom) = 0

***

# Ba2BeBr (GGA-PBEsol, optimized geometry)
data_Ba2BeBr
_cell_length_a 4.653
_cell_length_b 4.653
_cell_length_c 6.641
_cell_angle_alpha 90.00
_cell_angle_beta 90.00
_cell_angle_gamma 90.00
_symmetry_space_group_name_H-M 'P 4/m m m'
_symmetry_Int_Tables_number 123
_symmetry_space_group_name_Hall '-P 4 2'
loop_
_atom_site_label
_atom_site_fract_x
_atom_site_fract_y
_atom_site_fract_z
_atom_site_occupancy
Ba1 0.000 0.000 0.000 1
Ba2 0.500 0.500 0.500 1
Be1 0.000 0.000 0.500 1
Br1 0.500 0.500 0.000 1
# - raw formation energy (eV per atom) = -0.452

***

# TiTlCuTe3 (GGA-PBEsol, optimized geometry)
data_TiTlCuTe3
_cell_length_a 8.517
_cell_length_b 3.889
_cell_length_c 10.204
_cell_angle_alpha 90.00
_cell_angle_beta 112.74
_cell_angle_gamma 90.00
_symmetry_space_group_name_H-M 'P 1 21/m 1'
_symmetry_Int_Tables_number 11
loop_
_symmetry_equiv_pos_as_xyz
'x,y,z'
'-x,-y,-z'
'-x,y+1/2,-z'
'x,-y+1/2,z'
loop_
_atom_site_label
_atom_site_fract_x
_atom_site_fract_y
_atom_site_fract_z
_atom_site_occupancy
Ti1 0.215 0.250 0.177 1
Tl1 0.218 0.750 0.716 1
Cu1 0.423 0.750 0.400 1
Te1 0.042 0.250 0.879 1
Te2 0.247 0.250 0.447 1
Te3 0.429 0.750 0.149 1
# - raw formation energy (eV per atom) = -0.445

***

# KSe (GGA-PBEsol, optimized geometry)
data_KSe
_cell_length_a 8.8897
_cell_length_b 8.8897
_cell_length_c 5.8258
_cell_angle_alpha 90.00
_cell_angle_beta 90.00
_cell_angle_gamma 120.00
_symmetry_space_group_name_H-M 'P -6 2 m'
_symmetry_Int_Tables_number 189
_symmetry_space_group_name_Hall 'P -6 -2'
loop_
_atom_site_label
_atom_site_fract_x
_atom_site_fract_y
_atom_site_fract_z
_atom_site_occupancy
K1 0.0000 0.3476 0.0000 1
K2 0.0000 0.6815 0.5000 1
Se1 0.0000 0.0000 0.2075 1
Se2 0.3333 0.6667 0.2914 1
# - raw formation energy (eV per atom) = -0.921

***

# LaTa2P2 (GGA-PBEsol, optimized geometry)
data_LaTa2P2
_cell_length_a 3.926
_cell_length_b 3.926
_cell_length_c 12.481
_cell_angle_alpha 90.00
_cell_angle_beta 90.00
_cell_angle_gamma 90.00
_symmetry_space_group_name_H-M 'I 4/m m m'
_symmetry_Int_Tables_number 139
_symmetry_space_group_name_Hall '-I 4 2'
loop_
_atom_site_label
_atom_site_fract_x
_atom_site_fract_y
_atom_site_fract_z
_atom_site_occupancy
La1 0.000 0.000 0.000 1
Ta1 0.000 0.500 0.250 1
P1 0.000 0.000 0.380 1
# - DFT formation energy (eV/atom) = -0.9194

***

# Sc3Co (GGA-PBEsol, optimized geometry)
data_Sc3Co
_cell_length_a 3.246
_cell_length_b 4.776
_cell_length_c 9.684
_cell_angle_alpha 90.00
_cell_angle_beta 90.00
_cell_angle_gamma 90.00
_symmetry_space_group_name_H-M 'I m m m'
_symmetry_Int_Tables_number 71
_symmetry_space_group_name_Hall '-I 2 2'
loop_
_atom_site_label
_atom_site_fract_x
_atom_site_fract_y
_atom_site_fract_z
_atom_site_occupancy
Sc1 0.000 0.000 0.000 1
Sc2 0.000 0.500 0.199 1
Co1 0.000 0.000 0.500 1
# - DFT formation energy (eV/atom) = -0.1818

***

# BaCo2 (GGA-PBEsol, optimized geometry)
data_BaCo2
_cell_length_a 10.669
_cell_length_b 3.885
_cell_length_c 7.696
_cell_angle_alpha 90.00
_cell_angle_beta 126.62
_cell_angle_gamma 90.00
_symmetry_space_group_name_H-M 'C 1 2/m 1'
_symmetry_Int_Tables_number 12
loop_
_symmetry_equiv_pos_as_xyz
'x,y,z'
'-x,-y,-z'
'-x,y,-z'
'x,-y,z'
'x+1/2,y+1/2,z'
'-x+1/2,-y+1/2,-z'
'-x+1/2,y+1/2,-z'
'x+1/2,-y+1/2,z'
loop_
_atom_site_label
_atom_site_fract_x
_atom_site_fract_y
_atom_site_fract_z
_atom_site_occupancy
Ba1 0.062 0.000 0.337 1
Co1 0.132 0.500 0.076 1
Co2 0.248 0.000 0.099 1
# - DFT formation energy (eV/atom) = 0.3757

***

# ZnAgOs2 (GGA-PBEsol, optimized geometry)
data_ZnAgOs2
_cell_length_a 2.777
_cell_length_b 2.777
_cell_length_c 7.531
_cell_angle_alpha 90.00
_cell_angle_beta 90.00
_cell_angle_gamma 90.00
_symmetry_space_group_name_H-M 'P 4 m m'
_symmetry_Int_Tables_number 99
loop_
_symmetry_equiv_pos_as_xyz
'x,y,z'
'-y,x,z'
'-x,-y,z'
'y,-x,z'
'-x,y,z'
'y,x,z'
'x,-y,z'
'-y,-x,z'
loop_
_atom_site_label
_atom_site_fract_x
_atom_site_fract_y
_atom_site_fract_z
_atom_site_occupancy
Zn1 0.000 0.000 0.000 1
Ag1 0.500 0.500 0.253 1
Os1 0.000 0.000 0.533 1
Os2 0.500 0.500 0.754 1
# - DFT formation energy (eV/atom) = 0.1693

***

# Zr2AlNiAu (GGA-PBEsol, optimized geometry)
data_Zr2AlNiAu
_cell_length_a 5.028
_cell_length_b 5.028
_cell_length_c 4.589
_cell_angle_alpha 90.00
_cell_angle_beta 90.00
_cell_angle_gamma 90.00
_symmetry_space_group_name_H-M 'P 4/m m m'
_symmetry_Int_Tables_number 123
_symmetry_space_group_name_Hall '-P 4 2'
loop_
_atom_site_label
_atom_site_fract_x
_atom_site_fract_y
_atom_site_fract_z
_atom_site_occupancy
Zr1 0.000 0.500 0.000 1
Al1 0.000 0.000 0.500 1
Ni1 0.500 0.500 0.500 1
Au1 0.500 0.500 0.000 1
# - DFT formation energy (eV/atom) = 0.7042

***

# ScCrP2 (GGA-PBEsol, optimized geometry)
data_ScCrP2
_cell_length_a 3.6103
_cell_length_b 3.6103
_cell_length_c 16.5393
_cell_angle_alpha 90.00
_cell_angle_beta 90.00
_cell_angle_gamma 120.00
_symmetry_space_group_name_H-M 'R -3 m'
_symmetry_Int_Tables_number 166
_symmetry_space_group_name_Hall '-R 3 2"'
loop_
_atom_site_label
_atom_site_fract_x
_atom_site_fract_y
_atom_site_fract_z
_atom_site_occupancy
Sc1 0.0000 0.0000 0.0000 1
Cr1 0.0000 0.0000 0.5000 1
P1 0.0000 0.0000 0.2391 1
# - DFT formation energy (eV/atom) = -0.8718
# - energy above the lowest structure with this stoichiometry (meV/atom) = 0

***

# LiAgBr2 (GGA-PBEsol, optimized geometry)
data_LiAgBr2
_cell_length_a 3.470
_cell_length_b 3.470
_cell_length_c 6.982
_cell_angle_alpha 90.00
_cell_angle_beta 90.00
_cell_angle_gamma 90.00
_symmetry_space_group_name_H-M 'P 4/m m m'
_symmetry_Int_Tables_number 123
_symmetry_space_group_name_Hall '-P 4 2'
loop_
_atom_site_label
_atom_site_fract_x
_atom_site_fract_y
_atom_site_fract_z
_atom_site_occupancy
Li1 0.000 0.000 0.000 1
Ag1 0.000 0.000 0.500 1
Br1 0.500 0.500 0.246 1
# - energy above the lowest structure with this stoichiometry (meV/atom) = 218
# - raw formation energy (eV per atom) = -0.677

***

# SbP2Os (GGA-PBEsol, optimized geometry)
data_SbP2Os
_cell_length_a 3.1214
_cell_length_b 3.1214
_cell_length_c 24.5882
_cell_angle_alpha 90.00
_cell_angle_beta 90.00
_cell_angle_gamma 120.00
_symmetry_space_group_name_H-M 'R -3 m'
_symmetry_Int_Tables_number 166
_symmetry_space_group_name_Hall '-R 3 2"'
loop_
_atom_site_label
_atom_site_fract_x
_atom_site_fract_y
_atom_site_fract_z
_atom_site_occupancy
Sb1 0.0000 0.0000 0.0000 1
P1 0.0000 0.0000 0.2322 1
Os1 0.0000 0.0000 0.5000 1
# - raw formation energy (eV per atom) = 0.132

***

# CsCa2ReF (GGA-PBEsol, optimized geometry)
data_CsCa2ReF
_cell_length_a 4.749
_cell_length_b 4.749
_cell_length_c 5.373
_cell_angle_alpha 90.00
_cell_angle_beta 90.00
_cell_angle_gamma 90.00
_symmetry_space_group_name_H-M 'P 4/m m m'
_symmetry_Int_Tables_number 123
_symmetry_space_group_name_Hall '-P 4 2'
loop_
_atom_site_label
_atom_site_fract_x
_atom_site_fract_y
_atom_site_fract_z
_atom_site_occupancy
Cs1 0.000 0.000 0.000 1
Ca1 0.000 0.500 0.500 1
Re1 0.500 0.500 0.000 1
F1 0.000 0.000 0.500 1
# - raw formation energy (eV per atom) = -0.018

***

# PrZnBi2O6 (GGA-PBEsol, optimized geometry)
data_PrZnBi2O6
_cell_length_a 8.492
_cell_length_b 6.445
_cell_length_c 5.628
_cell_angle_alpha 90.00
_cell_angle_beta 90.00
_cell_angle_gamma 90.00
_symmetry_space_group_name_H-M 'P m n 21'
_symmetry_Int_Tables_number 31
loop_
_symmetry_equiv_pos_as_xyz
'x,y,z'
'-x+1/2,-y,z+1/2'
'-x,y,z'
'x+1/2,-y,z+1/2'
loop_
_atom_site_label
_atom_site_fract_x
_atom_site_fract_y
_atom_site_fract_z
_atom_site_occupancy
Pr1 0.000 0.166 0.000 1
Zn1 0.000 0.907 0.509 1
Bi1 0.241 0.719 0.031 1
O1 0.000 0.235 0.411 1
O2 0.000 0.811 0.187 1
O3 0.176 0.960 0.729 1
O4 0.186 0.413 0.879 1
# - raw formation energy (eV per atom) = -1.682

***

# Mg2Zn2In (GGA-PBEsol, optimized geometry)
data_Mg2Zn2In
_cell_length_a 6.864
_cell_length_b 6.864
_cell_length_c 4.103
_cell_angle_alpha 90.00
_cell_angle_beta 90.00
_cell_angle_gamma 90.00
_symmetry_space_group_name_H-M 'P 4/m b m'
_symmetry_Int_Tables_number 127
_symmetry_space_group_name_Hall '-P 4 2ab'
loop_
_atom_site_label
_atom_site_fract_x
_atom_site_fract_y
_atom_site_fract_z
_atom_site_occupancy
Mg1 0.167 0.333 0.000 1
Zn1 0.127 0.627 0.500 1
In1 0.000 0.000 0.500 1
# - DFT formation energy (eV/atom) = -0.0676

***

# Na2Cd2Au (GGA-PBEsol, optimized geometry)
data_Na2Cd2Au
_cell_length_a 7.083
_cell_length_b 7.083
_cell_length_c 4.870
_cell_angle_alpha 90.00
_cell_angle_beta 90.00
_cell_angle_gamma 90.00
_symmetry_space_group_name_H-M 'P 4/m b m'
_symmetry_Int_Tables_number 127
_symmetry_space_group_name_Hall '-P 4 2ab'
loop_
_atom_site_label
_atom_site_fract_x
_atom_site_fract_y
_atom_site_fract_z
_atom_site_occupancy
Na1 0.175 0.325 0.000 1
Cd1 0.140 0.640 0.500 1
Au1 0.000 0.000 0.500 1
# - DFT formation energy (eV/atom) = -0.1001

***

# GeBrNF2 (GGA-PBEsol, optimized geometry)
data_GeBrNF2
_cell_length_a 4.718
_cell_length_b 4.718
_cell_length_c 3.623
_cell_angle_alpha 90.00
_cell_angle_beta 90.00
_cell_angle_gamma 90.00
_symmetry_space_group_name_H-M 'P 4/m m m'
_symmetry_Int_Tables_number 123
_symmetry_space_group_name_Hall '-P 4 2'
loop_
_atom_site_label
_atom_site_fract_x
_atom_site_fract_y
_atom_site_fract_z
_atom_site_occupancy
Ge1 0.000 0.000 0.000 1
Br1 0.500 0.500 0.500 1
N1 0.500 0.500 0.000 1
F1 0.000 0.500 0.500 1
# - raw formation energy (eV per atom) = 0.464

***

# SiRuBr2 (GGA-PBEsol, optimized geometry)
data_SiRuBr2
_cell_length_a 3.3964
_cell_length_b 3.3964
_cell_length_c 24.9153
_cell_angle_alpha 90.00
_cell_angle_beta 90.00
_cell_angle_gamma 120.00
_symmetry_space_group_name_H-M 'R -3 m'
_symmetry_Int_Tables_number 166
_symmetry_space_group_name_Hall '-R 3 2"'
loop_
_atom_site_label
_atom_site_fract_x
_atom_site_fract_y
_atom_site_fract_z
_atom_site_occupancy
Si1 0.0000 0.0000 0.0000 1
Ru1 0.0000 0.0000 0.5000 1
Br1 0.0000 0.0000 0.2289 1
# - raw formation energy (eV per atom) = 0.626

***

# KSe (GGA-PBEsol, optimized geometry)
data_KSe
_cell_length_a 11.757
_cell_length_b 4.539
_cell_length_c 4.904
_cell_angle_alpha 90.00
_cell_angle_beta 105.75
_cell_angle_gamma 90.00
_symmetry_space_group_name_H-M 'C 1 2/m 1'
_symmetry_Int_Tables_number 12
loop_
_symmetry_equiv_pos_as_xyz
'x,y,z'
'-x,-y,-z'
'-x,y,-z'
'x,-y,z'
'x+1/2,y+1/2,z'
'-x+1/2,-y+1/2,-z'
'-x+1/2,y+1/2,-z'
'x+1/2,-y+1/2,z'
loop_
_atom_site_label
_atom_site_fract_x
_atom_site_fract_y
_atom_site_fract_z
_atom_site_occupancy
K1 0.124 0.000 0.252 1
Se1 0.088 0.500 0.695 1
# - raw formation energy (eV per atom) = -0.874

***

# LiIn2Ni (GGA-PBEsol, optimized geometry)
data_LiIn2Ni
_cell_length_a 3.213
_cell_length_b 3.213
_cell_length_c 6.276
_cell_angle_alpha 90.00
_cell_angle_beta 90.00
_cell_angle_gamma 90.00
_symmetry_space_group_name_H-M 'P 4/m m m'
_symmetry_Int_Tables_number 123
_symmetry_space_group_name_Hall '-P 4 2'
loop_
_atom_site_label
_atom_site_fract_x
_atom_site_fract_y
_atom_site_fract_z
_atom_site_occupancy
Li1 0.000 0.000 0.000 1
In1 0.500 0.500 0.264 1
Ni1 0.000 0.000 0.500 1
# - DFT formation energy (eV/atom) = -0.2204

***

# AlAg2Pt (GGA-PBEsol, optimized geometry)
data_AlAg2Pt
_cell_length_a 3.832
_cell_length_b 3.832
_cell_length_c 4.211
_cell_angle_alpha 90.00
_cell_angle_beta 90.00
_cell_angle_gamma 90.00
_symmetry_space_group_name_H-M 'P 4/m m m'
_symmetry_Int_Tables_number 123
_symmetry_space_group_name_Hall '-P 4 2'
loop_
_atom_site_label
_atom_site_fract_x
_atom_site_fract_y
_atom_site_fract_z
_atom_site_occupancy
Al1 0.000 0.000 0.000 1
Ag1 0.000 0.500 0.500 1
Pt1 0.500 0.500 0.000 1
# - DFT formation energy (eV/atom) = -0.3172
# - energy above the lowest structure with this stoichiometry (meV/atom) = 0

***

no.,ρ (Mg/m³)
1,3.80
2,3.80
3,4.20
4,7.44
5,2.95
6,9.72
7,4.29
8,6.62
9,15.83
10,6.66
11,4.24
12,5.42
13,8.98
14,5.73
15,7.77
16,5.06
17,6.36
18,4.21
19,5.78
20,3.11
21,7.57
22,11.75